A plane-wave DFT calculation with PBE with a Hubbard U was carried out for crystalline CsYCoO3 at its relaxed geometry.

Unit cell a=3.5589 b=13.1451 c=9.1529 alpha=90.00 beta=90.00 gamma=90.00
Last column: nearest neighbours and their distance in Å.
Space group Cmcm (No. 63)
Inequivalent atoms, fractional coordinates:
1 Cs 0.0000 0.2247 0.2500 (multiplicity 4)  8 O 3.13-3.37, 2 Co 3.44
2 Y 0.0000 0.5000 0.0000 (multiplicity 4)  6 O 2.31-2.32
3 Co 0.0000 0.0513 0.7500 (multiplicity 4)  4 O 1.92-2.07
4 O 0.0000 0.1049 0.5545 (multiplicity 8)  1 Co 1.92
5 O 0.0000 0.4708 0.7500 (multiplicity 4)  2 Co 2.07

**VASP energy**: -6.638 eV per atom
**Crystal system**: orthorhombic
**Total moment**: 0.50 μB per atom